No. 1
Density functional theory data (PBE) for a relaxed MgFeMo crystal.

Results
- DFT total energy (eV/atom) = -6.673
- ΔE_f (eV per atom) = 0.290
- E above lowest polymorph (meV per atom) = 82

POSCAR file:
```
MgFeMo
1.0
-3.627 1.796 -1.563
-0.236 -2.986 3.138
0.160 1.936 1.854
Mg Fe Mo
1 1 1
direct
0.667 0.333 0.306
0.000 0.000 0.963
0.333 0.667 0.731
```

No. 2
Density functional theory data (PBE) for a relaxed RbCd2Pd crystal.

Results
- DFT total energy (eV/atom) = -1.833
- ΔE_f (eV per atom) = 0.165
- E above lowest polymorph (meV per atom) = 346

POSCAR file:
```
RbCd2Pd
1.0
-2.093 -4.230 2.422
-1.266 0.247 5.146
-5.094 0.041 1.479
Pd Cd Rb
1 2 1
direct
0.500 0.500 0.500
0.750 0.750 0.750
0.250 0.250 0.250
0.000 0.000 0.000
```

No. 3
Density functional theory data (PBE) for a relaxed Zr6Al16Os7 crystal.

Results
- DFT total energy (eV/atom) = -7.119
- ΔE_f (eV per atom) = -0.575

POSCAR file:
```
Zr6Al16Os7
1.0
8.751 0.000 0.000
4.375 7.578 0.000
4.375 2.526 7.145
Al Zr Os
16 6 7
direct
0.361 0.880 0.880
0.120 0.120 0.120
0.011 0.663 0.663
0.337 0.989 0.337
0.880 0.880 0.880
0.639 0.120 0.120
0.663 0.011 0.663
0.880 0.880 0.361
0.120 0.639 0.120
0.337 0.337 0.337
0.120 0.120 0.639
0.663 0.663 0.011
0.663 0.663 0.663
0.880 0.361 0.880
0.337 0.337 0.989
0.989 0.337 0.337
0.292 0.708 0.292
0.292 0.292 0.708
0.708 0.292 0.292
0.292 0.708 0.708
0.708 0.708 0.292
0.708 0.292 0.708
0.500 0.500 0.000
0.500 0.000 0.500
0.000 0.500 0.000
0.000 0.000 0.500
0.000 0.500 0.500
0.500 0.000 0.000
0.000 0.000 0.000
```

No. 4
Density functional theory data (PBE) for a relaxed ReSb2TeI crystal.

Results
- DFT total energy (eV/atom) = -4.571
- E_form (uncorrected) (eV/atom) = 0.5063
- E above lowest polymorph (meV per atom) = 0

POSCAR file:
```
ReSb2TeI
1.0
5.294 0.000 0.000
0.000 5.294 0.000
0.000 0.000 5.218
Sb Te Re I
2 1 1 1
direct
0.500 0.000 0.000
0.000 0.500 0.000
0.000 0.000 0.500
0.000 0.000 0.000
0.500 0.500 0.500
```

No. 5
Density functional theory data (PBE) for a relaxed ZrCrSe2N crystal.

Results
- DFT total energy (eV/atom) = -6.602
- E_form (uncorrected) (eV/atom) = 0.0912
- E above lowest polymorph (meV per atom) = 340

POSCAR file:
```
ZrCrSe2N
1.0
5.319 0.000 0.000
0.000 5.319 0.000
0.000 0.000 4.054
Se Zr Cr N
2 1 1 1
direct
0.000 0.500 0.000
0.500 0.000 0.000
0.000 0.000 0.000
0.500 0.500 0.500
0.000 0.000 0.500
```

No. 6
Density functional theory data (PBE) for a relaxed Ac3Tb3ErTe8 crystal.

Results
- DFT total energy (eV/atom) = -5.156
- E_form (uncorrected) (eV/atom) = -1.4289

POSCAR file:
```
Ac3Tb3ErTe8
1.0
-5.873 -2.637 -6.208
-2.129 -0.507 8.672
0.536 8.224 -4.000
Te Ac Tb Er
8 3 3 1
direct
0.754 0.509 0.270
0.742 0.484 0.726
0.258 0.516 0.274
0.739 0.984 0.730
0.261 0.016 0.270
0.246 0.491 0.730
0.246 0.984 0.730
0.754 0.016 0.270
0.500 0.500 0.000
0.000 0.500 0.000
0.000 0.000 0.000
0.500 0.000 0.500
0.500 0.500 0.500
0.000 0.500 0.500
0.000 0.000 0.500
```

No. 7
Density functional theory data (PBE) for a relaxed Na3HO crystal.

Results
- DFT total energy (eV/atom) = -3.144
- E above lowest polymorph (meV per atom) = 52

POSCAR file:
```
Na3HO
1.0
3.557 0.000 0.000
0.000 6.034 -0.183
0.000 -2.235 5.608
Na H O
3 1 1
direct
0.500 0.258 0.332
0.500 0.668 0.742
0.000 0.205 0.795
0.500 0.073 0.927
0.000 0.424 0.576
```

No. 8
Density functional theory data (PBE) for a relaxed SrPmHg4 crystal.

Results
- DFT total energy (eV/atom) = -1.548
- ΔE_f (eV per atom) = -0.275
- E above lowest polymorph (meV per atom) = 167

POSCAR file:
```
SrPmHg4
1.0
6.115 0.000 0.000
3.058 5.296 0.000
3.058 1.765 4.993
Sr Hg Pm
1 4 1
direct
0.250 0.250 0.250
0.625 0.625 0.124
0.625 0.124 0.625
0.124 0.625 0.625
0.625 0.625 0.625
0.000 0.000 0.000
```

No. 9
Density functional theory data (PBE) for a relaxed Cs2NaIrBr6 crystal.

Results
- DFT total energy (eV/atom) = -3.308
- E_form (uncorrected) (eV/atom) = -1.1152

POSCAR file:
```
Cs2NaIrBr6
1.0
-3.113 -1.331 7.032
-3.652 -6.300 -2.809
0.969 -6.933 3.448
Br Cs Ir Na
6 2 1 1
direct
0.771 0.771 0.000
0.229 0.771 0.000
0.771 0.771 0.458
0.771 0.229 0.000
0.229 0.229 0.542
0.229 0.229 0.000
0.750 0.250 0.500
0.250 0.750 0.500
0.000 0.000 0.000
0.500 0.500 0.000
```

No. 10
Density functional theory data (PBE) for a relaxed RbBeIrC2 crystal.

Results
- DFT total energy (eV/atom) = -3.732
- ΔE_f (eV per atom) = 2.669

POSCAR file:
```
RbBeIrC2
1.0
3.834 0.000 0.000
0.000 4.802 0.000
0.000 0.000 3.834
C Be Rb Ir
2 1 1 1
direct
0.500 0.000 0.000
0.000 0.000 0.500
0.000 0.000 0.000
0.000 0.500 0.000
0.500 0.500 0.500
```

No. 11
Density functional theory data (PBE) for a relaxed PaPb2Se6 crystal.

Results
- DFT total energy (eV/atom) = -4.849
- E_form (uncorrected) (eV/atom) = -0.6467

POSCAR file:
```
PaPb2Se6
1.0
4.122 0.000 0.000
0.000 7.747 0.000
0.000 -3.874 7.623
Pb Se Pa
2 6 1
direct
0.000 0.253 0.626
0.000 0.627 0.374
0.500 0.696 0.000
0.500 0.352 0.374
0.000 0.759 0.783
0.000 0.976 0.217
0.000 0.307 0.000
0.500 0.977 0.626
0.500 0.052 0.000
```

No. 12
Density functional theory data (PBE) for a relaxed Ac4Ag2Ru crystal.

Results
- DFT total energy (eV/atom) = -4.617
- ΔE_f (eV per atom) = -0.130
- E above lowest polymorph (meV per atom) = 85

POSCAR file:
```
Ac4Ag2Ru
1.0
0.176 3.085 -6.030
4.595 -5.140 -2.496
-7.475 -6.903 0.455
Ag Ac Ru
4 8 2
direct
0.309 0.250 0.459
0.691 0.750 0.541
0.297 0.250 0.945
0.703 0.750 0.055
0.903 0.250 0.575
0.079 0.750 0.876
0.475 0.997 0.239
0.525 0.003 0.761
0.475 0.503 0.239
0.097 0.750 0.425
0.921 0.250 0.124
0.525 0.497 0.761
0.861 0.250 0.834
0.139 0.750 0.166
```

No. 13
Density functional theory data (PBE) for a relaxed BaLaY crystal.

Results
- DFT total energy (eV/atom) = -4.287
- ΔE_f (eV per atom) = 0.152
- E above lowest polymorph (meV per atom) = 0

POSCAR file:
```
BaLaY
1.0
8.810 0.022 0.000
7.110 5.202 0.000
-7.960 -2.612 2.726
Y La Ba
1 1 1
direct
0.680 0.680 0.000
0.318 0.318 0.000
0.002 0.002 0.000
```

No. 14
Density functional theory data (PBE) for a relaxed Re3P2 crystal.

Results
- DFT total energy (eV/atom) = -9.505
- ΔE_f (eV per atom) = 0.128
- E above lowest polymorph (meV per atom) = 68

POSCAR file:
```
Re3P2
1.0
2.012 -3.484 0.000
2.012 3.484 0.000
0.000 0.000 5.180
Re P
3 2
direct
0.000 0.000 0.000
0.333 0.667 0.322
0.667 0.333 0.678
0.333 0.667 0.788
0.667 0.333 0.212
```

No. 15
Density functional theory data (PBE) for a relaxed BeV3Cu crystal.

Results
- DFT total energy (eV/atom) = -6.307
- ΔE_f (eV per atom) = 0.728
- E above lowest polymorph (meV per atom) = 0

POSCAR file:
```
BeV3Cu
1.0
4.084 0.000 0.000
0.000 4.084 0.000
0.000 0.000 4.084
V Cu Be
3 1 1
direct
0.000 0.500 0.000
0.000 0.000 0.500
0.500 0.000 0.000
0.500 0.500 0.500
0.000 0.000 0.000
```

No. 16
Density functional theory data (PBE) for a relaxed CsTcI2O crystal.

Results
- DFT total energy (eV/atom) = -2.873
- E_form (uncorrected) (eV/atom) = 0.9828
- E above lowest polymorph (meV per atom) = 1647

POSCAR file:
```
CsTcI2O
1.0
-6.410 -2.260 -0.423
1.473 -3.074 -5.895
1.131 -3.614 2.167
O Cs Tc I
1 1 1 2
direct
0.000 0.000 0.500
0.000 0.000 0.000
0.500 0.500 0.500
0.000 0.500 0.000
0.500 0.000 0.000
```

No. 17
Density functional theory data (PBE) for a relaxed SrLa2Rh2 crystal.

Results
- DFT total energy (eV/atom) = -5.657
- ΔE_f (eV per atom) = -0.409
- E above lowest polymorph (meV per atom) = 167

POSCAR file:
```
SrLa2Rh2
1.0
-1.762 2.863 3.604
0.378 -3.756 3.169
4.789 1.239 4.728
Rh La Sr
2 2 1
direct
0.384 0.384 0.231
0.616 0.616 0.769
0.250 0.750 0.500
0.750 0.250 0.500
0.000 0.000 0.000
```

No. 18
Density functional theory data (PBE) for a relaxed ZrGaCu crystal.

Results
- DFT total energy (eV/atom) = -5.646
- ΔE_f (eV per atom) = -0.422

POSCAR file:
```
ZrGaCu
1.0
4.161 -0.002 0.003
2.086 4.951 -0.006
2.078 0.622 4.877
Cu Zr Ga
2 2 2
direct
0.528 0.650 0.244
0.853 0.229 0.015
0.154 0.232 0.409
0.226 0.648 0.850
0.858 0.812 0.423
0.523 0.068 0.836
```

No. 19
Density functional theory data (PBE) for a relaxed AsI3 crystal.

Results
- DFT total energy (eV/atom) = -2.503
- E_form (uncorrected) (eV/atom) = -0.1785

POSCAR file:
```
AsI3
1.0
8.592 0.062 0.042
5.447 6.644 0.042
5.447 2.602 6.114
As I
2 6
direct
0.830 0.830 0.830
0.170 0.170 0.170
0.932 0.572 0.220
0.572 0.220 0.932
0.220 0.932 0.572
0.068 0.428 0.780
0.428 0.780 0.068
0.780 0.068 0.428
```

No. 20
Density functional theory data (PBE) for a relaxed Sr3Li2HfO6 crystal.

Results
- DFT total energy (eV/atom) = -6.667
- E_form (uncorrected) (eV/atom) = -2.6194

POSCAR file:
```
Sr3Li2HfO6
1.0
5.870 0.000 0.000
-2.935 5.084 0.000
0.000 0.000 6.380
O Hf Sr Li
6 1 3 2
direct
0.165 0.329 0.303
0.671 0.835 0.303
0.835 0.165 0.697
0.835 0.671 0.697
0.329 0.165 0.697
0.165 0.835 0.303
0.000 0.000 0.500
0.000 0.000 0.000
0.333 0.667 0.615
0.667 0.333 0.385
0.667 0.333 0.802
0.333 0.667 0.198
```